No. 1
Compound: Rb2HAuI6
Source: Alexandria via LeMat-Bulk
Functional: PBE
Structure: relaxed

Results
The calculation puts the density of states at the Fermi level at 0.00 states/eV/cell. The calculation puts the total energy at -2.40 eV per atom. The theoretical density comes out at 4.53 Mg/m³.

The structure in POSCAR format:
```
Rb2HAuI6
1.0
-8.548 1.029 -0.831
-0.717 -8.173 -2.739
-5.344 -5.262 3.443
I Au Rb H
6 1 2 1
Cartesian
-9.729 -8.246 -0.160
-2.032 -1.566 -0.783
-2.434 -6.155 -2.321
-4.880 -4.160 0.033
-6.831 -0.989 -1.249
-7.234 -5.577 -2.787
0.000 0.000 0.000
-9.262 -3.902 0.413
-5.347 -8.503 -0.541
-4.633 -3.572 -1.785
```

=====

No. 2
Compound: HRuAuI2
Source: Alexandria via LeMat-Bulk
Functional: PBE
Structure: relaxed

Results
The calculation puts the density of states at the Fermi level at 4.35 states/eV/cell. The calculation puts the total energy at -2.95 eV per atom. The theoretical density comes out at 8.70 Mg/m³.

The structure in POSCAR format:
```
HRuAuI2
1.0
5.517 0.000 0.000
0.000 3.466 0.000
0.000 0.000 5.517
Ru I Au H
1 2 1 1
Cartesian
2.759 1.733 2.759
2.759 0.000 0.000
0.000 0.000 2.759
0.000 0.000 0.000
0.000 1.733 0.000
```

=====

No. 3
Compound: H3AuSI3
Source: Alexandria via LeMat-Bulk
Functional: PBE
Structure: relaxed

Results
The calculation puts the density of states at the Fermi level at 4.67 states/eV/cell. The calculation puts the total energy at -2.86 eV per atom. The theoretical density comes out at 4.47 Mg/m³.

The structure in POSCAR format:
```
H3AuSI3
1.0
8.274 -0.033 -0.013
0.020 5.712 -0.852
-0.011 -1.375 9.836
S I H Au
2 6 6 2
Cartesian
7.980 1.460 9.151
4.029 2.023 4.292
3.878 1.367 9.131
8.093 1.876 4.344
1.883 0.166 1.404
6.011 4.486 2.174
1.832 -0.694 6.353
6.019 3.973 7.088
7.234 2.352 8.323
3.215 1.564 3.273
0.517 1.054 8.144
0.600 3.875 -0.270
4.773 2.895 3.447
3.147 3.041 4.677
3.950 4.224 8.731
8.056 4.721 3.848
```

=====

No. 4
Compound: SbHAuI2
Source: Alexandria via LeMat-Bulk
Functional: PBE
Structure: relaxed

Results
The calculation puts the density of states at the Fermi level at 3.18 states/eV/cell. The value obtained for the energy above the most stable polymorph in this dataset is 19.5 kJ per mole of atoms. The calculation puts the total energy at -2.04 eV per atom. The theoretical density comes out at 5.23 Mg/m³.

The structure in POSCAR format:
```
SbHAuI2
1.0
5.892 0.000 0.000
0.000 5.892 0.000
0.000 0.000 5.248
H I Au Sb
1 2 1 1
Cartesian
2.946 2.946 2.624
0.000 2.946 0.000
2.946 0.000 0.000
0.000 0.000 0.000
0.000 0.000 2.624
```